Entry from Alexandria: an optimized crystal structure of NaCu2Os (PBE).

```
data_NaCu2Os
_chemical_formula_sum 'Na4 Cu8 Os4'
_cell_length_a 6.1557
_cell_length_b 6.1557
_cell_length_c 6.1557
_cell_angle_alpha 90.00
_cell_angle_beta 90.00
_cell_angle_gamma 90.00
_symmetry_space_group_name_H-M 'F m -3 m'
_symmetry_Int_Tables_number 225
_symmetry_space_group_name_Hall '-F 4 2 3'
loop_
_atom_site_label
_atom_site_type_symbol
_atom_site_fract_x
_atom_site_fract_y
_atom_site_fract_z
_atom_site_occupancy
Na1 Na 0.0000 0.0000 0.0000 1
Cu1 Cu 0.2500 0.2500 0.2500 1
Os1 Os 0.0000 0.0000 0.5000 1
```

## Properties
energy of formation from the pure elements = 0.789 eV/atom
total energy = -4.40 eV/atom
magnetization = 1.61 μB per formula unit